{
  "formula": "Tm5Ga4H",
  "functional": "PBE-GGA",
  "state": "relaxed",
  "dft_energy_ev_per_atom": -4.12,
  "lattice": [[-2.266, -0.730, 4.935], [3.772, -3.889, 4.198], [1.811, 4.768, 4.578]],
  "species": ["Ga", "Tm", "Ga", "Tm", "Ga", "Tm", "H", "Ga", "Tm", "Tm"],
  "fractional_positions": [[0.850, 0.703, 0.588], [0.122, 0.636, 0.109], [0.141, 0.297, 0.412], [0.867, 0.364, 0.891], [0.553, 0.588, 0.297], [0.486, 0.000, 0.000], [0.065, 0.000, 0.000], [0.438, 0.412, 0.703], [0.231, 0.891, 0.636], [0.758, 0.109, 0.364]]
}

***

{
  "formula": "TmGa2H6",
  "functional": "PBE-GGA",
  "state": "relaxed",
  "dft_energy_ev_per_atom": -2.98,
  "lattice": [[4.505, 0.000, 2.601], [1.502, 4.248, 2.601], [0.000, 0.000, 5.202]],
  "species": ["H", "H", "Tm", "H", "Ga", "H", "H", "Ga", "H"],
  "fractional_positions": [[0.723, 0.723, 0.277], [0.277, 0.723, 0.723], [0.000, 0.000, 0.000], [0.277, 0.277, 0.723], [0.250, 0.250, 0.250], [0.723, 0.277, 0.277], [0.723, 0.277, 0.723], [0.750, 0.750, 0.750], [0.277, 0.723, 0.277]]
}

***

{
  "formula": "Tm3Ga2H",
  "functional": "PBE-GGA",
  "state": "relaxed",
  "dft_energy_ev_per_atom": -4.29,
  "lattice": [[-2.153, 3.880, -3.934], [-7.516, -1.900, 2.238], [2.417, 2.157, 5.273]],
  "species": ["H", "Tm", "Tm", "Ga", "Tm", "Ga", "Ga", "Tm", "Tm", "Tm", "Ga", "H"],
  "fractional_positions": [[0.020, 0.250, 0.000], [0.372, 0.250, 0.000], [0.628, 0.750, 0.000], [0.788, 0.511, 0.311], [0.020, 0.153, 0.296], [0.522, 0.011, 0.311], [0.212, 0.489, 0.689], [0.980, 0.847, 0.704], [0.724, 0.347, 0.704], [0.276, 0.653, 0.296], [0.478, 0.989, 0.689], [0.980, 0.750, 0.000]]
}

***

{
  "formula": "Tm3GaH",
  "functional": "PBE-GGA",
  "state": "relaxed",
  "de_polymorph_ev_per_fu": 0.00,
  "lattice": [[3.492, 0.000, 0.000], [0.000, 7.290, 0.625], [0.000, -0.951, 8.382]],
  "species": ["H", "Tm", "Tm", "Tm", "Tm", "Tm", "Ga", "Ga", "Tm", "H"],
  "fractional_positions": [[0.250, 0.877, 0.402], [0.750, 0.249, 0.955], [0.750, 0.070, 0.334], [0.250, 0.751, 0.045], [0.250, 0.357, 0.612], [0.250, 0.930, 0.666], [0.750, 0.618, 0.773], [0.250, 0.382, 0.227], [0.750, 0.643, 0.388], [0.750, 0.123, 0.598]]
}

***

{
  "formula": "TmGaH",
  "functional": "PBE-GGA",
  "state": "relaxed",
  "de_polymorph_ev_per_fu": 0.73,
  "lattice": [[3.068, 0.000, 0.000], [0.000, 3.068, 0.000], [-1.534, -1.534, 5.378]],
  "species": ["Ga", "Tm", "H"],
  "fractional_positions": [[0.004, 0.004, 0.007], [0.724, 0.724, 0.449], [0.272, 0.272, 0.544]]
}

***

{
  "formula": "Tm12Ga3H5",
  "functional": "PBE-GGA",
  "state": "relaxed",
  "dft_energy_ev_per_atom": -4.28,
  "lattice": [[-4.592, 12.085, 1.447], [-3.619, -7.260, 10.170], [12.987, 0.348, -0.677]],
  "species": ["H", "Tm", "H", "H", "Tm", "Tm", "Tm", "H", "Tm", "H", "Tm", "Tm", "Tm", "Ga", "Ga", "Tm", "H", "Tm", "Tm", "Tm", "Tm", "Tm", "Tm", "Ga", "Tm", "Tm", "Tm", "Tm", "H", "Ga", "Tm", "Tm", "H", "Tm", "H", "Tm", "Tm", "Tm", "Tm", "H", "H", "Ga", "Tm", "Tm", "Tm", "Ga", "H", "Tm", "Tm", "Ga", "Ga", "Tm", "Ga", "Tm", "H", "Tm", "Tm", "H", "Ga", "Tm", "H", "H", "H", "Tm", "Ga", "Tm", "Tm", "Tm", "Tm", "Tm", "Tm", "H", "H", "H", "Tm", "Ga", "Tm", "Tm", "Tm", "Tm"],
  "fractional_positions": [[0.625, 0.875, 0.250], [0.614, 0.019, 0.210], [0.625, 0.750, 0.875], [0.250, 0.875, 0.125], [0.905, 0.809, 0.519], [0.481, 0.691, 0.095], [0.191, 0.096, 0.710], [0.500, 0.500, 0.500], [0.210, 0.519, 0.614], [0.500, 0.500, 0.000], [0.481, 0.790, 0.886], [0.904, 0.095, 0.614], [0.405, 0.386, 0.596], [0.750, 0.375, 0.125], [0.375, 0.625, 0.250], [0.790, 0.481, 0.386], [0.500, 0.000, 0.000], [0.710, 0.114, 0.019], [0.596, 0.886, 0.405], [0.191, 0.095, 0.981], [0.981, 0.595, 0.191], [0.981, 0.386, 0.290], [0.404, 0.290, 0.309], [0.250, 0.125, 0.375], [0.614, 0.595, 0.904], [0.595, 0.614, 0.404], [0.019, 0.405, 0.809], [0.905, 0.096, 0.886], [0.875, 0.625, 0.750], [0.125, 0.250, 0.875], [0.691, 0.481, 0.595], [0.386, 0.405, 0.096], [0.000, 0.000, 0.000], [0.290, 0.886, 0.981], [0.125, 0.750, 0.375], [0.904, 0.809, 0.790], [0.710, 0.596, 0.191], [0.095, 0.191, 0.481], [0.095, 0.904, 0.114], [0.000, 0.500, 0.000], [0.000, 0.500, 0.500], [0.625, 0.250, 0.375], [0.790, 0.309, 0.904], [0.309, 0.519, 0.405], [0.886, 0.290, 0.481], [0.250, 0.625, 0.875], [0.375, 0.250, 0.125], [0.114, 0.710, 0.519], [0.096, 0.905, 0.386], [0.750, 0.875, 0.625], [0.125, 0.875, 0.750], [0.404, 0.114, 0.595], [0.625, 0.375, 0.750], [0.096, 0.191, 0.210], [0.125, 0.375, 0.250], [0.309, 0.790, 0.404], [0.809, 0.905, 0.019], [0.875, 0.250, 0.625], [0.375, 0.750, 0.625], [0.386, 0.981, 0.790], [0.500, 0.000, 0.500], [0.250, 0.375, 0.625], [0.375, 0.125, 0.750], [0.519, 0.309, 0.905], [0.875, 0.125, 0.250], [0.595, 0.981, 0.691], [0.405, 0.019, 0.309], [0.290, 0.404, 0.809], [0.114, 0.404, 0.095], [0.019, 0.614, 0.710], [0.210, 0.691, 0.096], [0.750, 0.125, 0.875], [0.000, 0.000, 0.500], [0.750, 0.625, 0.375], [0.519, 0.210, 0.114], [0.875, 0.750, 0.125], [0.886, 0.596, 0.905], [0.691, 0.210, 0.596], [0.809, 0.904, 0.290], [0.596, 0.710, 0.691]]
}

***

{
  "formula": "TmGaH",
  "functional": "PBE-GGA",
  "state": "relaxed",
  "de_polymorph_ev_per_fu": 0.53,
  "lattice": [[4.546, 0.000, 0.000], [0.000, 5.756, 0.000], [0.000, 0.000, 8.100]],
  "species": ["Ga", "H", "H", "H", "Ga", "Tm", "H", "Ga", "Ga", "Tm", "Tm", "Tm"],
  "fractional_positions": [[0.000, 0.500, 0.500], [0.250, 0.000, 0.605], [0.750, 0.000, 0.395], [0.250, 0.500, 0.105], [0.500, 0.000, 0.000], [0.750, 0.062, 0.654], [0.750, 0.500, 0.895], [0.500, 0.500, 0.500], [0.000, 0.000, 0.000], [0.250, 0.562, 0.846], [0.250, 0.938, 0.346], [0.750, 0.438, 0.154]]
}

***

{
  "formula": "TmGaH",
  "functional": "PBE-GGA",
  "state": "relaxed",
  "de_polymorph_ev_per_fu": 0.00,
  "lattice": [[4.765, 0.000, 0.000], [0.000, 3.541, 0.000], [0.000, -1.771, 3.067]],
  "species": ["Ga", "H", "Tm"],
  "fractional_positions": [[0.666, 0.667, 0.333], [0.168, 0.333, 0.667], [0.166, 0.000, 0.000]]
}

***

{
  "formula": "Tm4Ga2H",
  "functional": "PBE-GGA",
  "state": "relaxed",
  "dft_energy_ev_per_atom": -4.33,
  "lattice": [[4.404, 0.000, 0.000], [0.000, 4.404, 0.000], [2.202, 2.202, 7.914]],
  "species": ["Tm", "Tm", "Tm", "Tm", "Ga", "H", "Ga"],
  "fractional_positions": [[0.180, 0.180, 0.640], [0.000, 0.500, 0.000], [0.820, 0.820, 0.360], [0.500, 0.000, 0.000], [0.633, 0.633, 0.734], [0.000, 0.000, 0.000], [0.367, 0.367, 0.266]]
}

***

{
  "formula": "UGa2H6",
  "functional": "PBE-GGA",
  "state": "relaxed",
  "dft_energy_ev_per_atom": -3.65,
  "lattice": [[-0.993, 4.828, -1.102], [-3.906, 2.338, 2.189], [0.821, 3.598, 3.448]],
  "species": ["H", "H", "H", "Ga", "H", "H", "H", "Ga", "U"],
  "fractional_positions": [[0.718, 0.282, 0.282], [0.282, 0.718, 0.282], [0.282, 0.718, 0.718], [0.250, 0.250, 0.250], [0.718, 0.718, 0.282], [0.282, 0.282, 0.718], [0.718, 0.282, 0.718], [0.750, 0.750, 0.750], [0.000, 0.000, 0.000]]
}

***

{
  "formula": "V7Ga3H2",
  "functional": "PBE-GGA",
  "state": "relaxed",
  "de_polymorph_ev_per_fu": 0.00,
  "lattice": [[3.837, 0.000, 0.000], [0.000, 3.672, 0.000], [0.000, -1.836, 10.006]],
  "species": ["Ga", "V", "V", "Ga", "V", "V", "V", "V", "V", "Ga", "H", "H"],
  "fractional_positions": [[0.500, 0.500, 0.000], [0.000, 0.398, 0.797], [0.500, 0.901, 0.803], [0.500, 0.304, 0.607], [0.000, 0.203, 0.405], [0.000, 0.000, 0.000], [0.000, 0.797, 0.595], [0.500, 0.099, 0.197], [0.000, 0.602, 0.203], [0.500, 0.696, 0.393], [0.000, 0.901, 0.803], [0.000, 0.099, 0.197]]
}

***

{
  "formula": "V3GaH",
  "functional": "PBE-GGA",
  "state": "relaxed",
  "dft_energy_ev_per_atom": -6.62,
  "lattice": [[2.022, 6.151, 0.139], [2.629, 3.712, 4.610], [5.819, 2.752, 0.711]],
  "species": ["H", "Ga", "Ga", "V", "V", "H", "V", "V", "V", "V"],
  "fractional_positions": [[0.165, 0.165, 0.165], [0.333, 0.333, 0.333], [0.667, 0.667, 0.667], [0.124, 0.781, 0.444], [0.876, 0.219, 0.556], [0.835, 0.835, 0.835], [0.556, 0.876, 0.219], [0.444, 0.124, 0.781], [0.781, 0.444, 0.124], [0.219, 0.556, 0.876]]
}

***

{
  "formula": "V7Ga3H2",
  "functional": "PBE-GGA",
  "state": "relaxed",
  "de_polymorph_ev_per_fu": 0.34,
  "lattice": [[-2.315, 1.182, -1.887], [-2.662, -2.955, 1.415], [-1.729, 7.896, 7.066]],
  "species": ["Ga", "H", "V", "Ga", "H", "V", "V", "V", "V", "V", "V", "Ga"],
  "fractional_positions": [[0.000, 0.182, 0.380], [0.500, 0.492, 0.742], [0.500, 0.916, 0.817], [0.500, 0.500, 0.000], [0.500, 0.508, 0.258], [0.500, 0.292, 0.581], [0.000, 0.000, 0.000], [0.000, 0.391, 0.793], [0.500, 0.084, 0.183], [0.000, 0.609, 0.207], [0.500, 0.708, 0.419], [0.000, 0.818, 0.620]]
}

***

{
  "formula": "V3GaH",
  "functional": "PBE-GGA",
  "state": "relaxed",
  "dft_energy_ev_per_atom": -6.56,
  "lattice": [[0.000, 5.086, 5.086], [5.086, 0.000, 5.086], [5.086, 5.086, 0.000]],
  "species": ["Ga", "Ga", "V", "V", "V", "V", "H", "H", "V", "V", "V", "V", "V", "V", "H", "V", "V", "H", "Ga", "Ga"],
  "fractional_positions": [[0.625, 0.625, 0.625], [0.125, 0.625, 0.625], [0.067, 0.433, 0.433], [0.183, 0.183, 0.817], [0.817, 0.183, 0.183], [0.817, 0.183, 0.817], [0.125, 0.625, 0.125], [0.125, 0.125, 0.625], [0.067, 0.433, 0.067], [0.433, 0.067, 0.067], [0.067, 0.067, 0.433], [0.433, 0.433, 0.067], [0.817, 0.817, 0.183], [0.183, 0.817, 0.183], [0.625, 0.125, 0.125], [0.183, 0.817, 0.817], [0.433, 0.067, 0.433], [0.125, 0.125, 0.125], [0.625, 0.125, 0.625], [0.625, 0.625, 0.125]]
}

***

{
  "formula": "V2GaH",
  "functional": "PBE-GGA",
  "state": "relaxed",
  "de_polymorph_ev_per_fu": 1.23,
  "lattice": [[-2.359, 0.894, -0.559], [-0.883, -0.923, 2.246], [1.475, 5.724, 2.932]],
  "species": ["V", "H", "V", "Ga"],
  "fractional_positions": [[0.000, 0.000, 0.813], [0.500, 0.500, 0.000], [0.000, 0.000, 0.187], [0.500, 0.500, 0.500]]
}

***

{
  "formula": "V3GaH",
  "functional": "PBE-GGA",
  "state": "relaxed",
  "dft_energy_ev_per_atom": -6.54,
  "lattice": [[4.508, 0.000, 1.137], [-2.254, 3.904, 1.137], [-2.254, -3.904, 1.137]],
  "species": ["V", "H", "Ga", "V", "V"],
  "fractional_positions": [[0.727, 0.727, 0.156], [0.890, 0.890, 0.890], [0.376, 0.376, 0.376], [0.727, 0.156, 0.727], [0.156, 0.727, 0.727]]
}

***

{
  "formula": "V3GaH",
  "functional": "PBE-GGA",
  "state": "relaxed",
  "dft_energy_ev_per_atom": -6.61,
  "lattice": [[-2.529, -0.979, 1.231], [0.842, -1.008, -2.673], [8.085, -12.001, 7.071]],
  "species": ["V", "V", "V", "V", "Ga", "V", "H", "H", "V", "Ga"],
  "fractional_positions": [[0.667, 0.333, 0.131], [0.333, 0.667, 0.869], [0.667, 0.333, 0.369], [0.333, 0.667, 0.631], [0.000, 0.000, 0.500], [0.000, 0.000, 0.750], [0.333, 0.667, 0.750], [0.667, 0.333, 0.250], [0.000, 0.000, 0.250], [0.000, 0.000, 0.000]]
}

***

{
  "formula": "VGa3H",
  "functional": "PBE-GGA",
  "state": "relaxed",
  "de_polymorph_ev_per_fu": 0.00,
  "lattice": [[-0.606, -0.311, -3.965], [-1.211, -3.806, 0.483], [-3.789, 1.266, 0.480]],
  "species": ["H", "Ga", "Ga", "Ga", "V"],
  "fractional_positions": [[0.000, 0.000, 0.000], [0.000, 0.000, 0.500], [0.500, 0.000, 0.000], [0.000, 0.500, 0.000], [0.500, 0.500, 0.500]]
}

***

{
  "formula": "V2GaH",
  "functional": "PBE-GGA",
  "state": "relaxed",
  "de_polymorph_ev_per_fu": 0.00,
  "lattice": [[4.603, 0.000, 0.000], [0.000, 4.586, -0.002], [0.000, 0.004, 8.375]],
  "species": ["V", "V", "Ga", "V", "V", "V", "V", "H", "Ga", "V", "Ga", "H", "H", "Ga", "V", "H"],
  "fractional_positions": [[0.266, 0.000, 0.423], [0.234, 0.000, 0.077], [0.750, 0.000, 0.250], [0.266, 0.500, 0.577], [0.734, 0.500, 0.423], [0.234, 0.500, 0.923], [0.766, 0.000, 0.923], [0.500, 0.750, 0.000], [0.250, 0.000, 0.750], [0.734, 0.000, 0.577], [0.750, 0.500, 0.750], [0.500, 0.250, 0.000], [0.000, 0.250, 0.500], [0.250, 0.500, 0.250], [0.766, 0.500, 0.077], [0.000, 0.750, 0.500]]
}

***

{
  "formula": "V5GaH2",
  "functional": "PBE-GGA",
  "state": "relaxed",
  "dft_energy_ev_per_atom": -6.84,
  "lattice": [[-2.906, 1.045, -2.750], [-0.823, -3.710, -3.650], [-4.275, -3.071, 0.241]],
  "species": ["H", "H", "V", "V", "Ga", "V", "V", "V"],
  "fractional_positions": [[0.211, 0.289, 0.289], [0.789, 0.711, 0.711], [0.343, 0.426, 0.887], [0.657, 0.574, 0.113], [0.000, 0.000, 0.000], [0.657, 0.113, 0.574], [0.000, 0.500, 0.500], [0.343, 0.887, 0.426]]
}